Record 1
Cs2K17Hg2 | PBE | relaxed

Energy of formation from the pure elements, eV/f.u.: -0.29
M_tot, μB/atom: 0.00
Crystal system: monoclinic

Unit cell a=17.8113 b=14.8184 c=11.7722 alpha=90.00 beta=99.92 gamma=90.00
With the nearest neighbours (Å) after each atom.
Space group C2/m (No. 12)
Inequivalent atoms, fractional coordinates:
Cs1 0.1869 0.0000 0.3655  2 Hg 4.11
K1 0.0000 0.1640 0.0000  9 K 4.50-4.86
K2 0.0000 0.5000 0.5000  10 K 4.40-4.73
K3 0.0948 0.2440 0.6497  1 Hg 3.53
K4 0.0984 0.5000 0.8999  11 K 4.55-4.86
K5 0.1289 0.3486 0.2679  1 Hg 3.50
K6 0.1648 0.0000 0.8240  8 K 4.24-4.59
K7 0.2500 0.2500 0.0000  10 K 4.37-4.63
Hg1 0.2500 0.2500 0.5000  4 K 3.50-3.53

Record 2
Cs3K7Hg | PBE | relaxed

Energy of formation from the pure elements, eV/f.u.: -0.32
M_tot, μB/atom: 0.00
Crystal system: monoclinic

Unit cell a=9.4568 b=14.1441 c=13.0441 alpha=90.00 beta=105.58 gamma=90.00
With the nearest neighbours (Å) after each atom.
Space group Cm (No. 8)
Inequivalent atoms, fractional coordinates:
Cs1 0.0000 0.0000 0.0000  1 Hg 3.79
Cs2 0.2755 0.1774 0.4302  8 K 4.84-5.29, 3 Cs 5.02-5.16
K1 0.1061 0.2893 0.8011  1 Hg 3.73
K2 0.2670 0.0000 0.7457  1 Hg 3.61
K3 0.2737 0.5000 0.6067  4 K 4.45-4.53
K4 0.2823 0.5000 0.2675  1 Hg 3.83
K5 0.4315 0.1850 0.0984  1 Hg 3.64
Hg1 0.0898 0.5000 0.9693  6 K 3.61-3.83, 1 Cs 3.79

Record 3
CsK12Hg6 | PBE | relaxed

Energy of formation from the pure elements, eV/f.u.: -2.54
E above lowest polymorph, meV per atom: 3
M_tot, μB/atom: 0.00
Crystal system: trigonal

Unit cell a=16.4463 b=16.4463 c=12.7821 alpha=90.00 beta=90.00 gamma=120.00
With the nearest neighbours (Å) after each atom.
Space group R-3m (No. 166, hexagonal axes)
Inequivalent atoms, fractional coordinates:
Cs1 0.0000 0.0000 0.0000  18 K 5.17-5.59, 6 Hg 5.35
K1 0.0000 0.3766 0.5000  4 Hg 3.56-3.61
K2 0.0890 0.1780 0.3521  3 Hg 3.62-3.72
Hg1 0.0376 0.5188 0.2699  7 K 3.56-3.72

Record 4
CsK11Hg5 | PBE | relaxed

Energy of formation from the pure elements, eV/f.u.: -2.25
M_tot, μB/atom: 0.00
Crystal system: monoclinic

Unit cell a=13.4587 b=16.3714 c=8.3332 alpha=90.00 beta=100.81 gamma=90.00
With the nearest neighbours (Å) after each atom.
Space group C2/m (No. 12)
Inequivalent atoms, fractional coordinates:
Cs1 0.0000 0.0000 0.0000  4 Hg 4.09, 2 K 4.17
K1 0.0000 0.0000 0.5000  4 Hg 3.62
K2 0.1032 0.2417 0.3264  3 Hg 3.68-3.85
K3 0.1698 0.3647 0.8781  3 Hg 3.47-3.63
K4 0.1713 0.5000 0.3878  3 Hg 3.60-3.75
Hg1 0.0000 0.5000 0.0000  6 K 3.47-3.60
Hg2 0.1528 0.1531 0.7445  7 K 3.59-3.85

Record 5
Cs3K7Hg4 | PBE | relaxed

Energy of formation from the pure elements, eV/f.u.: -1.97
M_tot, μB/atom: 0.00
Crystal system: monoclinic

Unit cell a=22.9880 b=5.5798 c=14.6958 alpha=90.00 beta=123.73 gamma=90.00
With the nearest neighbours (Å) after each atom.
Space group C2/m (No. 12)
Inequivalent atoms, fractional coordinates:
Cs1 0.0000 0.0000 0.0000  6 Hg 4.52-4.79, 8 K 4.81-4.93
Cs2 0.1941 0.5000 0.7082  4 Hg 4.05-4.09, 2 K 4.39
K1 0.0000 0.0000 0.5000  2 Hg 3.78
K2 0.0085 0.5000 0.2741  3 Hg 3.66-3.73
K3 0.1701 0.0000 0.4269  3 Hg 3.70-4.06, 2 K 4.14
K4 0.1834 0.5000 0.0190  4 Hg 3.75-3.88, 1 K 4.11
Hg1 0.1139 0.0000 0.8089  6 K 3.66-3.88, 2 Cs 4.05
Hg2 0.1644 0.5000 0.2562  5 K 3.70-4.06, 2 Cs 4.09

Record 6
Cs2K2Hg15 | PBE | relaxed

Energy of formation from the pure elements, eV/f.u.: -3.44
E above lowest polymorph, meV per atom: 0
M_tot, μB/atom: 0.00
Crystal system: trigonal

Unit cell a=10.9745 b=10.9745 c=17.9463 alpha=90.00 beta=90.00 gamma=120.00
With the nearest neighbours (Å) after each atom.
Space group R-3m (No. 166, hexagonal axes)
Inequivalent atoms, fractional coordinates:
Cs1 0.0000 0.0000 0.1587  12 Hg 3.87-4.18
K1 0.0000 0.0000 0.4007  12 Hg 3.39-3.70, 1 K 3.56
Hg1 0.0000 0.2956 0.5000  6 Hg 3.24-3.42
Hg2 0.0000 0.5000 0.0000  8 Hg 3.25-3.42, 2 K 3.39
Hg3 0.0091 0.5046 0.6384  6 Hg 3.24-3.35

Record 7
Cs3K2Hg | PBE | relaxed

Energy of formation from the pure elements, eV/f.u.: -0.34
M_tot, μB/atom: 0.00
Crystal system: monoclinic

Unit cell a=14.4822 b=11.4881 c=12.0216 alpha=90.00 beta=106.81 gamma=90.00
With the nearest neighbours (Å) after each atom.
Space group C2/c (No. 15)
Inequivalent atoms, fractional coordinates:
Cs1 0.0000 0.0661 0.2500  1 Hg 3.81
Cs2 0.0808 0.3372 0.9625  2 Hg 3.93-4.02
K1 0.2401 0.1420 0.6449  1 Hg 3.64
Hg1 0.0000 0.3981 0.2500  2 K 3.64, 5 Cs 3.81-4.02

Record 8
Cs4K16Hg3 | PBE | relaxed

Energy of formation from the pure elements, eV/f.u.: -0.87
M_tot, μB/atom: 0.00
Crystal system: tetragonal

Unit cell a=9.2598 b=9.2598 c=18.5551 alpha=90.00 beta=90.00 gamma=90.00
With the nearest neighbours (Å) after each atom.
Space group P4/mmm (No. 123)
Inequivalent atoms, fractional coordinates:
Cs1 0.0000 0.5000 0.1952  12 K 4.63-4.91
K1 0.0000 0.0000 0.1908  1 Hg 3.54
K2 0.2495 0.2495 0.3924  2 Hg 3.83, 1 K 3.99
K3 0.2626 0.2626 0.0000  1 Hg 3.44
K4 0.5000 0.5000 0.1993  4 Cs 4.63, 8 K 4.83-4.86
Hg1 0.0000 0.0000 0.0000  6 K 3.44-3.54
Hg2 0.0000 0.5000 0.5000  8 K 3.83

Record 9
Cs6K23Hg | PBE | relaxed

Energy of formation from the pure elements, eV/f.u.: -0.02
M_tot, μB/atom: 0.00
Crystal system: cubic

Unit cell a=21.1808 b=21.1808 c=21.1808 alpha=90.00 beta=90.00 gamma=90.00
With the nearest neighbours (Å) after each atom.
Space group Fm-3m (No. 225)
Inequivalent atoms, fractional coordinates:
Cs1 0.0000 0.0000 0.1931  1 Hg 4.09
K1 0.0000 0.0000 0.5000  8 K 4.35
K2 0.0000 0.2500 0.2500  8 K 4.33-4.67
K3 0.1185 0.1185 0.3815  7 K 4.35-4.73
K4 0.1705 0.1705 0.1705  9 K 4.33-4.76
Hg1 0.0000 0.0000 0.0000  6 Cs 4.09

Record 10
Cs2K5Hg3 | PBE | relaxed

Energy of formation from the pure elements, eV/f.u.: -1.28
M_tot, μB/atom: 0.00
Crystal system: monoclinic

Unit cell a=14.8956 b=19.1657 c=7.7930 alpha=90.00 beta=103.50 gamma=90.00
With the nearest neighbours (Å) after each atom.
Space group C2/c (No. 15)
Inequivalent atoms, fractional coordinates:
Cs1 0.1175 0.1992 0.0612  3 Hg 3.97-4.15, 2 K 4.34-4.36
K1 0.0000 0.0018 0.2500  2 K 3.90, 4 Hg 3.91-3.97
K2 0.1109 0.3461 0.5318  4 Hg 3.85-3.97, 1 K 4.05
K3 0.1999 0.4541 0.0945  3 Hg 3.58-3.62
Hg1 0.0000 0.4924 0.7500  8 K 3.59-3.93, 2 Hg 3.91
Hg2 0.1456 0.1409 0.5641  5 K 3.58-3.97, 2 Cs 3.97-4.00

Record 11
CsK4Hg2 | PBE | relaxed

Energy of formation from the pure elements, eV/f.u.: -0.80
E above lowest polymorph, meV per atom: 28
M_tot, μB/atom: 0.00
Crystal system: trigonal

Unit cell a=6.0961 b=6.0961 c=38.2974 alpha=90.00 beta=90.00 gamma=120.00
With the nearest neighbours (Å) after each atom.
Space group R-3m (No. 166, hexagonal axes)
Inequivalent atoms, fractional coordinates:
Cs1 0.0000 0.0000 0.0000  2 Hg 3.90
K1 0.0000 0.0000 0.1972  4 Hg 3.65-3.76
K2 0.0000 0.0000 0.4132  3 Hg 3.62
Hg1 0.0000 0.0000 0.1019  7 K 3.62-3.76, 1 Cs 3.90

Record 12
Cs8K5Hg | PBE | relaxed

Energy of formation from the pure elements, eV/f.u.: -0.12
M_tot, μB/atom: 0.00
Crystal system: tetragonal

Unit cell a=14.1058 b=14.1058 c=12.6220 alpha=90.00 beta=90.00 gamma=90.00
With the nearest neighbours (Å) after each atom.
Space group I-4 (No. 82)
Inequivalent atoms, fractional coordinates:
Cs1 0.0360 0.3409 0.0552  1 Hg 4.49, 2 Cs 4.60-4.76, 2 K 4.77-4.89
Cs2 0.1346 0.2626 0.7056  1 Hg 3.89
K1 0.0000 0.0000 0.0000  4 Cs 4.89, 4 K 5.13
K2 0.0704 0.1478 0.3626  4 K 4.62-5.13, 5 Cs 4.71-4.90
Hg1 0.0000 0.5000 0.7500  4 Cs 3.89

Record 13
CsKHg | PBE | relaxed

Energy of formation from the pure elements, eV/f.u.: -0.39
E above lowest polymorph, meV per atom: 39
M_tot, μB/atom: 0.00
Crystal system: orthorhombic

Unit cell a=4.4239 b=5.9383 c=6.7169 alpha=90.00 beta=90.00 gamma=90.00
With the nearest neighbours (Å) after each atom.
Space group Pmmm (No. 47)
Inequivalent atoms, fractional coordinates:
Cs1 0.0000 0.0000 0.0000  4 Hg 4.02, 2 Cs 4.42, 4 K 4.48
K1 0.0000 0.5000 0.5000  4 Hg 3.70
Hg1 0.5000 0.0000 0.5000  4 K 3.70, 4 Cs 4.02

Record 14
CsK3Hg2 | PBE | relaxed

Energy of formation from the pure elements, eV/f.u.: -0.71
E above lowest polymorph, meV per atom: 53
M_tot, μB/atom: 0.00
Crystal system: hexagonal

Unit cell a=8.4590 b=8.4590 c=5.3307 alpha=90.00 beta=90.00 gamma=120.00
With the nearest neighbours (Å) after each atom.
Space group P6/mmm (No. 191)
Inequivalent atoms, fractional coordinates:
Cs1 0.0000 0.0000 0.0000  6 Hg 4.88, 12 K 5.00, 2 Cs 5.33
K1 0.0000 0.5000 0.5000  4 Hg 3.61
Hg1 0.3333 0.6667 0.0000  6 K 3.61

Record 15
CsKHg4 | PBE | relaxed

Energy of formation from the pure elements, eV/f.u.: -1.53
E above lowest polymorph, meV per atom: 25
M_tot, μB/atom: 0.00
Crystal system: orthorhombic

Unit cell a=4.5172 b=5.4483 c=9.4362 alpha=90.00 beta=90.00 gamma=90.00
With the nearest neighbours (Å) after each atom.
Space group Pmmm (No. 47)
Inequivalent atoms, fractional coordinates:
Cs1 0.0000 0.0000 0.0000  12 Hg 3.91-3.92
K1 0.0000 0.5000 0.5000  12 Hg 3.80-3.85
Hg1 0.5000 0.0000 0.3393  3 Hg 3.03-3.13
Hg2 0.5000 0.5000 0.1757  3 Hg 3.13-3.32

Record 16
Cs5KHg | PBE | relaxed

Energy of formation from the pure elements, eV/f.u.: -0.33
M_tot, μB/atom: 0.00
Crystal system: monoclinic

Unit cell a=16.3256 b=10.2216 c=16.2560 alpha=90.00 beta=110.82 gamma=90.00
With the nearest neighbours (Å) after each atom.
Space group C2/c (No. 15)
Inequivalent atoms, fractional coordinates:
Cs1 0.0000 0.0391 0.2500  2 Hg 4.08
Cs2 0.1306 0.3228 0.0494  1 Hg 3.86
Cs3 0.2115 0.1820 0.6255  1 Hg 3.81
K1 0.0000 0.4411 0.7500  9 Cs 4.73-5.29
Hg1 0.0000 0.0000 0.0000  6 Cs 3.81-4.08

Record 17
CsK3Hg | PBE | relaxed

Energy of formation from the pure elements, eV/f.u.: -0.42
E above lowest polymorph, meV per atom: 12
M_tot, μB/atom: 0.00
Crystal system: cubic

Unit cell a=6.9923 b=6.9923 c=6.9923 alpha=90.00 beta=90.00 gamma=90.00
With the nearest neighbours (Å) after each atom.
Space group Pm-3m (No. 221)
Inequivalent atoms, fractional coordinates:
Cs1 0.0000 0.0000 0.0000  12 K 4.94
K1 0.0000 0.5000 0.5000  2 Hg 3.50
Hg1 0.5000 0.5000 0.5000  6 K 3.50

Record 18
CsKHg | PBE | relaxed

Energy of formation from the pure elements, eV/f.u.: -0.49
E above lowest polymorph, meV per atom: 6
M_tot, μB/atom: 0.00
Crystal system: monoclinic

Unit cell a=12.5991 b=8.1287 c=9.0271 alpha=90.00 beta=133.70 gamma=90.00
With the nearest neighbours (Å) after each atom.
Space group C2/m (No. 12)
Inequivalent atoms, fractional coordinates:
Cs1 0.1947 0.0000 0.0356  4 Hg 3.93-4.04
K1 0.1694 0.5000 0.3608  4 Hg 3.76-4.01
Hg1 0.0000 0.1934 0.5000  1 Hg 3.14

Record 19
CsK4Hg | PBE | relaxed

Energy of formation from the pure elements, eV/f.u.: -0.46
E above lowest polymorph, meV per atom: 9
M_tot, μB/atom: 0.00
Crystal system: monoclinic

Unit cell a=23.1043 b=9.5138 c=7.7958 alpha=90.00 beta=109.53 gamma=90.00
With the nearest neighbours (Å) after each atom.
Space group C2/m (No. 12)
Inequivalent atoms, fractional coordinates:
Cs1 0.2087 0.0000 0.2078  12 K 4.79-5.08
K1 0.0000 0.2190 0.0000  2 Hg 3.58
K2 0.1029 0.2405 0.6035  2 Hg 3.66-3.67
K3 0.1493 0.5000 0.1510  2 Hg 4.00-4.05, 2 K 4.21
Hg1 0.0007 0.5000 0.3055  1 Hg 3.04

What are the total DFT energy (no corrections) values for these records? In order: -1.012; -0.988; -0.967; -0.981; -0.959; -0.625; -0.899; -0.989; -1.023; -0.938; -0.950; -0.910; -0.880; -0.909; -0.781; -0.856; -0.973; -0.913; -1.001 eV per atom.